A) Compound: Ca3Zn2Au7
Source: Alexandria via LeMat-Bulk
Functional: PBE-GGA
Structure: relaxed

Computed properties:
- Spin magnetization: 0.000 μB/atom

Geometry as CIF:
```
data_Ca3Zn2Au7
_cell_length_a 4.206
_cell_length_b 4.206
_cell_length_c 28.840
_cell_angle_alpha 90.00
_cell_angle_beta 90.00
_cell_angle_gamma 90.00
_symmetry_space_group_name_H-M 'I 4/m m m'
_symmetry_Int_Tables_number 139
_symmetry_space_group_name_Hall '-I 4 2'
loop_
_atom_site_label
_atom_site_fract_x
_atom_site_fract_y
_atom_site_fract_z
_atom_site_occupancy
Ca1 0.000 0.000 0.000 1
Ca2 0.000 0.000 0.174 1
Zn1 0.000 0.000 0.367 1
Au1 0.000 0.000 0.278 1
Au2 0.000 0.000 0.500 1
Au3 0.000 0.500 0.078 1
```

---

B) Compound: Ca3Zn2Au7
Source: Alexandria via LeMat-Bulk
Functional: PBE-GGA
Structure: relaxed

Computed properties:
- Spin magnetization: 0.000 μB/atom

Geometry as CIF:
```
data_Ca3Zn2Au7
_cell_length_a 5.078
_cell_length_b 27.423
_cell_length_c 4.061
_cell_angle_alpha 90.00
_cell_angle_beta 90.00
_cell_angle_gamma 90.00
_symmetry_space_group_name_H-M 'C m m m'
_symmetry_Int_Tables_number 65
_symmetry_space_group_name_Hall '-C 2 2'
loop_
_atom_site_label
_atom_site_fract_x
_atom_site_fract_y
_atom_site_fract_z
_atom_site_occupancy
Ca1 0.000 0.000 0.000 1
Ca2 0.000 0.196 0.000 1
Zn1 0.000 0.408 0.500 1
Au1 0.000 0.085 0.500 1
Au2 0.000 0.279 0.500 1
Au3 0.000 0.354 0.000 1
Au4 0.000 0.500 0.500 1
```

---

Stability order, top to bottom: A), B)

---

A) Compound: Ca3Zn3Au8
Source: Alexandria via LeMat-Bulk
Functional: PBE-GGA
Structure: relaxed

Computed properties:
- Spin magnetization: 0.000 μB/atom

Geometry as CIF:
```
data_Ca3Zn3Au8
_cell_length_a 4.442
_cell_length_b 10.092
_cell_length_c 13.075
_cell_angle_alpha 90.00
_cell_angle_beta 90.00
_cell_angle_gamma 90.00
_symmetry_space_group_name_H-M 'I m m m'
_symmetry_Int_Tables_number 71
_symmetry_space_group_name_Hall '-I 2 2'
loop_
_atom_site_label
_atom_site_fract_x
_atom_site_fract_y
_atom_site_fract_z
_atom_site_occupancy
Ca1 0.000 0.000 0.000 1
Ca2 0.000 0.000 0.293 1
Zn1 0.000 0.194 0.500 1
Zn2 0.000 0.500 0.000 1
Au1 0.000 0.300 0.124 1
Au2 0.000 0.365 0.342 1
```

---

B) Compound: Ca3Zn3Au8
Source: Alexandria via LeMat-Bulk
Functional: PBE-GGA
Structure: relaxed

Computed properties:
- Spin magnetization: 0.000 μB/atom

Geometry as CIF:
```
data_Ca3Zn3Au8
_cell_length_a 16.433
_cell_length_b 4.621
_cell_length_c 9.102
_cell_angle_alpha 90.00
_cell_angle_beta 123.45
_cell_angle_gamma 90.00
_symmetry_space_group_name_H-M 'C 1 2/m 1'
_symmetry_Int_Tables_number 12
_symmetry_space_group_name_Hall '-C 2y'
loop_
_atom_site_label
_atom_site_fract_x
_atom_site_fract_y
_atom_site_fract_z
_atom_site_occupancy
Ca1 0.000 0.000 0.000 1
Ca2 0.205 0.500 0.688 1
Zn1 0.000 0.000 0.500 1
Zn2 0.173 0.500 0.009 1
Au1 0.005 0.500 0.681 1
Au2 0.130 0.000 0.417 1
Au3 0.135 0.000 0.848 1
Au4 0.157 0.500 0.272 1
```

---

Stability order, top to bottom: B), A)

---

A) Compound: CaZn4Au
Source: Alexandria via LeMat-Bulk
Functional: PBE-GGA
Structure: relaxed

Computed properties:
- Spin magnetization: 0.000 μB/atom

Geometry as CIF:
```
data_CaZn4Au
_cell_length_a 7.488
_cell_length_b 7.488
_cell_length_c 7.488
_cell_angle_alpha 90.00
_cell_angle_beta 90.00
_cell_angle_gamma 90.00
_symmetry_space_group_name_H-M 'F -4 3 m'
_symmetry_Int_Tables_number 216
_symmetry_space_group_name_Hall 'F -4 2 3'
loop_
_atom_site_label
_atom_site_fract_x
_atom_site_fract_y
_atom_site_fract_z
_atom_site_occupancy
Ca1 0.000 0.000 0.000 1
Zn1 0.125 0.125 0.625 1
Au1 0.250 0.250 0.250 1
```

---

B) Compound: CaZn4Au
Source: Alexandria via LeMat-Bulk
Functional: PBE-GGA
Structure: relaxed

Computed properties:
- Spin magnetization: 0.000 μB/atom

Geometry as CIF:
```
data_CaZn4Au
_cell_length_a 4.198
_cell_length_b 15.992
_cell_length_c 6.835
_cell_angle_alpha 90.00
_cell_angle_beta 90.00
_cell_angle_gamma 90.00
_symmetry_space_group_name_H-M 'C m c m'
_symmetry_Int_Tables_number 63
_symmetry_space_group_name_Hall '-C 2c 2'
loop_
_atom_site_label
_atom_site_fract_x
_atom_site_fract_y
_atom_site_fract_z
_atom_site_occupancy
Ca1 0.000 0.121 0.250 1
Zn1 0.000 0.067 0.750 1
Zn2 0.000 0.334 0.060 1
Zn3 0.000 0.500 0.000 1
Au1 0.000 0.235 0.750 1
```

---

Stability order, top to bottom: B), A)

---

A) Compound: Ca2ZnAu3
Source: Alexandria via LeMat-Bulk
Functional: PBE-GGA
Structure: relaxed

Computed properties:
- Spin magnetization: 0.000 μB/atom

Geometry as CIF:
```
data_Ca2ZnAu3
_cell_length_a 3.680
_cell_length_b 4.659
_cell_length_c 8.027
_cell_angle_alpha 90.00
_cell_angle_beta 90.00
_cell_angle_gamma 90.00
_symmetry_space_group_name_H-M 'P m m 2'
_symmetry_Int_Tables_number 25
_symmetry_space_group_name_Hall 'P 2 -2'
loop_
_atom_site_label
_atom_site_fract_x
_atom_site_fract_y
_atom_site_fract_z
_atom_site_occupancy
Ca1 0.000 0.000 0.000 1
Ca2 0.000 0.500 0.475 1
Zn1 0.500 0.500 0.812 1
Au1 0.500 0.000 0.329 1
Au2 0.500 0.000 0.675 1
Au3 0.500 0.500 0.133 1
```

---

B) Compound: Ca2ZnAu3
Source: Alexandria via LeMat-Bulk
Functional: PBE-GGA
Structure: relaxed

Computed properties:
- Spin magnetization: 0.000 μB/atom

Geometry as CIF:
```
data_Ca2ZnAu3
_cell_length_a 7.221
_cell_length_b 9.350
_cell_length_c 16.128
_cell_angle_alpha 90.00
_cell_angle_beta 90.00
_cell_angle_gamma 90.00
_symmetry_space_group_name_H-M 'F m m m'
_symmetry_Int_Tables_number 69
_symmetry_space_group_name_Hall '-F 2 2'
loop_
_atom_site_label
_atom_site_fract_x
_atom_site_fract_y
_atom_site_fract_z
_atom_site_occupancy
Ca1 0.246 0.000 0.000 1
Ca2 0.250 0.250 0.250 1
Zn1 0.000 0.000 0.333 1
Au1 0.000 0.000 0.173 1
Au2 0.000 0.239 0.413 1
```

---

Stability order, top to bottom: A), B)

---

A) Compound: CaZn2Au8
Source: Alexandria via LeMat-Bulk
Functional: PBE-GGA
Structure: relaxed

Computed properties:
- Spin magnetization: 0.000 μB/atom

Geometry as CIF:
```
data_CaZn2Au8
_cell_length_a 14.940
_cell_length_b 4.168
_cell_length_c 6.849
_cell_angle_alpha 90.00
_cell_angle_beta 110.05
_cell_angle_gamma 90.00
_symmetry_space_group_name_H-M 'C 1 2/m 1'
_symmetry_Int_Tables_number 12
_symmetry_space_group_name_Hall '-C 2y'
loop_
_atom_site_label
_atom_site_fract_x
_atom_site_fract_y
_atom_site_fract_z
_atom_site_occupancy
Ca1 0.000 0.000 0.000 1
Zn1 0.221 0.500 0.659 1
Au1 0.045 0.500 0.722 1
Au2 0.105 0.000 0.468 1
Au3 0.153 0.500 0.227 1
Au4 0.182 0.000 0.924 1
```

---

B) Compound: CaZn2Au8
Source: Alexandria via LeMat-Bulk
Functional: PBE-GGA
Structure: relaxed

Computed properties:
- Spin magnetization: 0.000 μB/atom

Geometry as CIF:
```
data_CaZn2Au8
_cell_length_a 5.517
_cell_length_b 5.517
_cell_length_c 8.505
_cell_angle_alpha 90.00
_cell_angle_beta 90.00
_cell_angle_gamma 90.00
_symmetry_space_group_name_H-M 'P 4/m m m'
_symmetry_Int_Tables_number 123
_symmetry_space_group_name_Hall '-P 4 2'
loop_
_atom_site_label
_atom_site_fract_x
_atom_site_fract_y
_atom_site_fract_z
_atom_site_occupancy
Ca1 0.000 0.000 0.000 1
Zn1 0.000 0.500 0.500 1
Au1 0.252 0.252 0.281 1
```

---

Stability order, top to bottom: A), B)

---

A) Compound: CaZn4Au6
Source: Alexandria via LeMat-Bulk
Functional: PBE-GGA
Structure: relaxed

Computed properties:
- Spin magnetization: 0.000 μB/atom

Geometry as CIF:
```
data_CaZn4Au6
_cell_length_a 6.668
_cell_length_b 6.668
_cell_length_c 9.935
_cell_angle_alpha 90.00
_cell_angle_beta 90.00
_cell_angle_gamma 90.00
_symmetry_space_group_name_H-M 'I -4 2 m'
_symmetry_Int_Tables_number 121
_symmetry_space_group_name_Hall 'I -4 2'
loop_
_atom_site_label
_atom_site_fract_x
_atom_site_fract_y
_atom_site_fract_z
_atom_site_occupancy
Ca1 0.000 0.000 0.000 1
Zn1 0.161 0.161 0.597 1
Au1 0.000 0.500 0.000 1
Au2 0.214 0.214 0.323 1
```

---

B) Compound: CaZn4Au6
Source: Alexandria via LeMat-Bulk
Functional: PBE-GGA
Structure: relaxed

Computed properties:
- Spin magnetization: 0.000 μB/atom

Geometry as CIF:
```
data_CaZn4Au6
_cell_length_a 7.5382
_cell_length_b 7.5382
_cell_length_c 4.1579
_cell_angle_alpha 90.00
_cell_angle_beta 90.00
_cell_angle_gamma 120.00
_symmetry_space_group_name_H-M 'P -6 m 2'
_symmetry_Int_Tables_number 187
_symmetry_space_group_name_Hall 'P -6 2'
loop_
_atom_site_label
_atom_site_fract_x
_atom_site_fract_y
_atom_site_fract_z
_atom_site_occupancy
Ca1 0.0000 0.0000 0.0000 1
Zn1 0.2006 0.4011 0.5000 1
Zn2 0.6667 0.3333 0.0000 1
Au1 0.0674 0.5337 0.0000 1
Au2 0.3870 0.1935 0.5000 1
```

---

Stability order, top to bottom: B), A)

---

A) Compound: Cd5Au2
Source: Alexandria via LeMat-Bulk
Functional: PBE-GGA
Structure: relaxed

Computed properties:
- Spin magnetization: 0.000 μB/atom

Geometry as CIF:
```
data_Cd5Au2
_cell_length_a 13.759
_cell_length_b 5.364
_cell_length_c 8.005
_cell_angle_alpha 90.00
_cell_angle_beta 98.17
_cell_angle_gamma 90.00
_symmetry_space_group_name_H-M 'C 1 2/c 1'
_symmetry_Int_Tables_number 15
_symmetry_space_group_name_Hall '-C 2yc'
loop_
_atom_site_label
_atom_site_fract_x
_atom_site_fract_y
_atom_site_fract_z
_atom_site_occupancy
Cd1 0.000 0.236 0.250 1
Cd2 0.120 0.168 0.946 1
Cd3 0.220 0.365 0.320 1
Au1 0.087 0.329 0.591 1
```

---

B) Compound: Cd5Au2
Source: Alexandria via LeMat-Bulk
Functional: PBE-GGA
Structure: relaxed

Computed properties:
- Spin magnetization: 0.000 μB/atom

Geometry as CIF:
```
data_Cd5Au2
_cell_length_a 7.095
_cell_length_b 13.466
_cell_length_c 6.232
_cell_angle_alpha 90.00
_cell_angle_beta 90.00
_cell_angle_gamma 90.00
_symmetry_space_group_name_H-M 'I b a m'
_symmetry_Int_Tables_number 72
_symmetry_space_group_name_Hall '-I 2 2c'
loop_
_atom_site_label
_atom_site_fract_x
_atom_site_fract_y
_atom_site_fract_z
_atom_site_occupancy
Cd1 0.000 0.000 0.250 1
Cd2 0.000 0.237 0.250 1
Cd3 0.162 0.414 0.000 1
Au1 0.234 0.376 0.500 1
```

---

Stability order, top to bottom: B), A)

---

A) Compound: Cd3Au5
Source: Alexandria via LeMat-Bulk
Functional: PBE-GGA
Structure: relaxed

Computed properties:
- Spin magnetization: 0.000 μB/atom

Geometry as CIF:
```
data_Cd3Au5
_cell_length_a 8.2724
_cell_length_b 8.2724
_cell_length_c 5.3951
_cell_angle_alpha 90.00
_cell_angle_beta 90.00
_cell_angle_gamma 120.00
_symmetry_space_group_name_H-M 'P 63/m c m'
_symmetry_Int_Tables_number 193
_symmetry_space_group_name_Hall '-P 6c 2'
loop_
_atom_site_label
_atom_site_fract_x
_atom_site_fract_y
_atom_site_fract_z
_atom_site_occupancy
Cd1 0.0000 0.3963 0.2500 1
Au1 0.0000 0.2063 0.7500 1
Au2 0.3333 0.6667 0.0000 1
```

---

B) Compound: Cd3Au5
Source: Alexandria via LeMat-Bulk
Functional: PBE-GGA
Structure: relaxed

Computed properties:
- Spin magnetization: 0.000 μB/atom

Geometry as CIF:
```
data_Cd3Au5
_cell_length_a 7.845
_cell_length_b 8.609
_cell_length_c 4.513
_cell_angle_alpha 90.00
_cell_angle_beta 90.00
_cell_angle_gamma 90.00
_symmetry_space_group_name_H-M 'C m m m'
_symmetry_Int_Tables_number 65
_symmetry_space_group_name_Hall '-C 2 2'
loop_
_atom_site_label
_atom_site_fract_x
_atom_site_fract_y
_atom_site_fract_z
_atom_site_occupancy
Cd1 0.000 0.000 0.000 1
Cd2 0.000 0.268 0.500 1
Au1 0.000 0.500 0.000 1
Au2 0.232 0.000 0.500 1
Au3 0.250 0.250 0.000 1
```

---

Stability order, top to bottom: B), A)